No. 1
Below is crystalline LaAl2IrPd2 at its relaxed geometry, with properties calculated at the PBE level.

Cell lengths 4.7080, 4.7080, 5.5903 Å; angles 90.00, 90.00, 90.00 degrees
Last column: nearest neighbours and their distance in Å.
Fractional positions:
La1 0.0000 0.0000 0.0000  2 Ir 2.80
Al1 0.0000 0.5000 0.5000  2 Ir 2.35
Al2 0.5000 0.0000 0.5000  2 Ir 2.35
Ir1 0.0000 0.0000 0.5000  4 Al 2.35
Pd1 0.5000 0.5000 0.2468  4 Al 2.75, 2 Pd 2.76-2.83
Pd2 0.5000 0.5000 0.7532  4 Al 2.75, 2 Pd 2.76-2.83

Summary:
Its crystal system is tetragonal. The formation energy from the elements is -3.93 eV per formula unit. The value obtained for the mass density is 8.0 g cm⁻³. As for the symmetry: P4/mmm. For the density of states at the Fermi level, the calculation gives 0.32 states/eV/atom.

No. 2
Below is crystalline LaMg2Cu at its relaxed geometry, with properties calculated at the PBE level.

Cell lengths 11.8456, 11.8456, 11.8456 Å; angles 159.37, 159.37, 29.33 degrees
Last column: nearest neighbours and their distance in Å.
Fractional positions:
La1 0.0000 0.0000 0.0000  4 Cu 3.00, 4 Mg 3.27
La2 0.7500 0.2500 0.5000  4 Cu 3.00, 4 Mg 3.27
Mg1 0.1484 0.6250 0.0234  4 Mg 2.86-3.14, 2 Cu 3.20
Mg2 0.3750 0.3984 0.5234  4 Mg 2.86-3.14, 2 Cu 3.20
Mg3 0.6016 0.1250 0.9766  4 Mg 2.86-3.14, 2 Cu 3.20
Mg4 0.8750 0.8516 0.4766  4 Mg 2.86-3.14, 2 Cu 3.20
Cu1 0.2500 0.7500 0.5000  4 La 3.00, 4 Mg 3.20
Cu2 0.5000 0.5000 0.0000  4 La 3.00, 4 Mg 3.20

Summary:
Its crystal system is tetragonal. The formation energy from the elements is 0.75 eV per formula unit. The value obtained for the mass density is 4.0 g cm⁻³. As for the symmetry: I-42d. For the density of states at the Fermi level, the calculation gives 1.01 states/eV/atom.

No. 3
Below is crystalline Nd2TlCl2 at its relaxed geometry, with properties calculated at the PBE level.

Cell lengths 11.3369, 11.3369, 11.3369 Å; angles 20.96, 20.96, 20.96 degrees
Last column: nearest neighbours and their distance in Å.
Fractional positions:
Nd1 0.1022 0.1022 0.1022  3 Cl 2.88, 3 Tl 3.20
Nd2 0.8978 0.8978 0.8978  3 Cl 2.88, 3 Tl 3.20
Tl1 0.5000 0.5000 0.5000  6 Nd 3.20
Cl1 0.2801 0.2801 0.2801  3 Nd 2.88
Cl2 0.7199 0.7199 0.7199  3 Nd 2.88

Summary:
Its crystal system is trigonal. The calculation puts the raw formation energy at -1346 meV per atom. The value obtained for the mass density is 5.7 g cm⁻³. As for the symmetry: R-3m. For the density of states at the Fermi level, the calculation gives 0.43 states/eV/atom.

No. 4
Below is crystalline Pa4SiAsS2 at its relaxed geometry, with properties calculated at the PBE level.

Cell lengths 6.7495, 4.0489, 7.0192 Å; angles 90.00, 110.23, 90.00 degrees
Last column: nearest neighbours and their distance in Å.
Fractional positions:
Pa1 0.2349 0.0000 0.2413  3 S 2.76-2.79, 1 Si 2.86, 2 As 2.89
Pa2 0.2384 0.5000 0.7497  3 S 2.76-2.79, 2 Si 2.86, 1 As 2.89
Pa3 0.7616 0.5000 0.2503  3 S 2.76-2.79, 2 Si 2.86, 1 As 2.89
Pa4 0.7651 0.0000 0.7587  3 S 2.76-2.79, 1 Si 2.86, 2 As 2.89
Si1 0.5000 0.0000 0.0000  6 Pa 2.86
As1 0.5000 0.5000 0.5000  6 Pa 2.89
S1 0.0000 0.0000 0.5000  6 Pa 2.79
S2 0.0000 0.5000 0.0000  6 Pa 2.76

Summary:
Its crystal system is monoclinic. The calculation puts the raw formation energy at -1185 meV per atom. The value obtained for the mass density is 10.1 g cm⁻³. As for the symmetry: P2/m. For the density of states at the Fermi level, the calculation gives 1.39 states/eV/atom.

No. 5
Below is crystalline CrOs3 at its relaxed geometry, with properties calculated at the PBE level.

Cell lengths 3.8104, 3.8104, 3.8104 Å; angles 90.00, 90.00, 90.00 degrees
Last column: nearest neighbours and their distance in Å.
Fractional positions:
Cr1 0.0000 0.0000 0.0000  12 Os 2.69
Os1 0.0000 0.5000 0.5000  4 Cr 2.69, 8 Os 2.69
Os2 0.5000 0.0000 0.5000  4 Cr 2.69, 8 Os 2.69
Os3 0.5000 0.5000 0.0000  4 Cr 2.69, 8 Os 2.69

Summary:
Its crystal system is cubic. The formation energy from the elements is 0.41 eV per formula unit. The value obtained for the mass density is 18.7 g cm⁻³. As for the symmetry: Pm-3m. For the density of states at the Fermi level, the calculation gives 1.27 states/eV/atom.

No. 6
Below is crystalline TbPr2SmDy at its relaxed geometry, with properties calculated at the PBE level.

Cell lengths 8.1990, 6.8155, 6.2476 Å; angles 90.00, 90.07, 90.00 degrees
Last column: nearest neighbours and their distance in Å.
Fractional positions:
Tb1 0.0000 0.1583 0.2500  6 Pr 3.56-3.66, 2 Tb 3.80
Tb2 0.0000 0.8417 0.7500  6 Pr 3.56-3.66, 2 Tb 3.80
Pr1 0.1973 0.3064 0.7504  1 Dy 3.12, 1 Pr 3.24
Pr2 0.1973 0.6936 0.2504  1 Dy 3.12, 1 Pr 3.24
Pr3 0.8027 0.3064 0.7496  1 Dy 3.12, 1 Pr 3.24
Pr4 0.8027 0.6936 0.2496  1 Dy 3.12, 1 Pr 3.24
Sm1 0.5000 0.0000 0.0000  2 Sm 3.12, 2 Dy 3.24
Sm2 0.5000 0.0000 0.5000  2 Sm 3.12, 2 Dy 3.24
Dy1 0.5000 0.4165 0.2500  2 Pr 3.12, 2 Sm 3.24, 2 Dy 3.32
Dy2 0.5000 0.5835 0.7500  2 Pr 3.12, 2 Sm 3.24, 2 Dy 3.32

Summary:
Its crystal system is monoclinic. The formation energy from the elements is 1.29 eV per formula unit. The value obtained for the mass density is 7.2 g cm⁻³. As for the symmetry: P2/c. For the density of states at the Fermi level, the calculation gives 1.21 states/eV/atom.

No. 7
Below is crystalline HfPd2F8 at its relaxed geometry, with properties calculated at the PBE level.

Cell lengths 6.1385, 6.1385, 4.5027 Å; angles 92.49, 92.49, 73.01 degrees
Last column: nearest neighbours and their distance in Å.
Fractional positions:
Hf1 0.0000 0.0000 0.0000  6 F 2.01
Pd1 0.3799 0.3799 0.7461  6 F 2.16-2.27
Pd2 0.6201 0.6201 0.2539  6 F 2.16-2.27
F1 0.1016 0.7047 0.7622  1 Hf 2.01, 1 Pd 2.22
F2 0.1605 0.1605 0.7443  1 Hf 2.01, 1 Pd 2.16
F3 0.2953 0.8984 0.2378  1 Hf 2.01, 1 Pd 2.22
F4 0.3995 0.3995 0.2499  3 Pd 2.18-2.27
F5 0.6005 0.6005 0.7501  3 Pd 2.18-2.27
F6 0.7047 0.1016 0.7622  1 Hf 2.01, 1 Pd 2.22
F7 0.8395 0.8395 0.2557  1 Hf 2.01, 1 Pd 2.16
F8 0.8984 0.2953 0.2378  1 Hf 2.01, 1 Pd 2.22

Summary:
Its crystal system is monoclinic. The calculation puts the raw formation energy at -2266 meV per atom. The value obtained for the mass density is 5.6 g cm⁻³. As for the symmetry: C2/m. For the density of states at the Fermi level, the calculation gives 0.22 states/eV/atom.

No. 8
Below is crystalline Li8Ge2Pb at its relaxed geometry, with properties calculated at the PBE level.

Cell lengths 7.2121, 7.2121, 7.1858 Å; angles 119.00, 119.00, 36.15 degrees
Last column: nearest neighbours and their distance in Å.
Fractional positions:
Li1 0.0243 0.0243 0.2164  1 Ge 2.66, 6 Li 2.74-2.89
Li2 0.1610 0.1610 0.7334  3 Li 2.58-2.74, 2 Ge 2.74
Li3 0.3215 0.3215 0.6148  3 Ge 2.69-2.82, 6 Li 2.74-2.89, 1 Pb 2.96
Li4 0.3692 0.3692 0.0462  2 Li 2.58-2.82, 3 Ge 2.65-2.83, 1 Pb 2.81
Li5 0.6308 0.6308 0.9538  2 Li 2.58-2.82, 3 Ge 2.65-2.83, 1 Pb 2.81
Li6 0.6785 0.6785 0.3852  3 Ge 2.69-2.82, 6 Li 2.74-2.89, 1 Pb 2.96
Li7 0.8390 0.8390 0.2666  3 Li 2.58-2.74, 2 Ge 2.74
Li8 0.9757 0.9757 0.7836  1 Ge 2.66, 6 Li 2.74-2.89
Ge1 0.2078 0.2078 0.1800  10 Li 2.65-2.93
Ge2 0.7922 0.7922 0.8200  10 Li 2.65-2.93
Pb1 0.5000 0.5000 0.5000  8 Li 2.81-2.99

Summary:
Its crystal system is monoclinic. The formation energy from the elements is -3.16 eV per formula unit. The value obtained for the mass density is 3.6 g cm⁻³. As for the symmetry: C2/m. For the density of states at the Fermi level, the calculation gives 0.35 states/eV/atom.

No. 9
Below is crystalline Ac2AlFeGe6 at its relaxed geometry, with properties calculated at the PBE level.

Cell lengths 12.5818, 12.5818, 12.5818 Å; angles 29.43, 29.43, 29.43 degrees
Last column: nearest neighbours and their distance in Å.
Fractional positions:
Ac1 0.1102 0.1102 0.1102  12 Ge 3.34-3.52, 3 Al 3.73
Ac2 0.2857 0.2857 0.2857  12 Ge 3.23-3.50
Ac3 0.7143 0.7143 0.7143  12 Ge 3.23-3.50
Ac4 0.8898 0.8898 0.8898  12 Ge 3.34-3.52, 3 Al 3.73
Al1 0.4276 0.4276 0.4276  1 Fe 2.61, 6 Ge 2.63-2.64
Al2 0.5724 0.5724 0.5724  1 Fe 2.61, 6 Ge 2.63-2.64
Fe1 0.0000 0.0000 0.0000  6 Ge 2.46
Fe2 0.5000 0.5000 0.5000  6 Ge 2.46, 2 Al 2.61
Ge1 0.0739 0.6656 0.6656  1 Fe 2.46, 2 Ge 2.61, 1 Al 2.63
Ge2 0.2243 0.2243 0.6594  1 Fe 2.46, 1 Al 2.64
Ge3 0.2243 0.6594 0.2243  1 Fe 2.46, 1 Al 2.64
Ge4 0.3344 0.3344 0.9261  1 Fe 2.46, 2 Ge 2.61, 1 Al 2.63
Ge5 0.3344 0.9261 0.3344  1 Fe 2.46, 2 Ge 2.61, 1 Al 2.63
Ge6 0.3406 0.7757 0.7757  1 Fe 2.46, 1 Al 2.64
Ge7 0.6594 0.2243 0.2243  1 Fe 2.46, 1 Al 2.64
Ge8 0.6656 0.0739 0.6656  1 Fe 2.46, 2 Ge 2.61, 1 Al 2.63
Ge9 0.6656 0.6656 0.0739  1 Fe 2.46, 2 Ge 2.61, 1 Al 2.63
Ge10 0.7757 0.3406 0.7757  1 Fe 2.46, 1 Al 2.64
Ge11 0.7757 0.7757 0.3406  1 Fe 2.46, 1 Al 2.64
Ge12 0.9261 0.3344 0.3344  1 Fe 2.46, 2 Ge 2.61, 1 Al 2.63

Summary:
Its crystal system is trigonal. The formation energy from the elements is -3.13 eV per formula unit. The value obtained for the mass density is 7.6 g cm⁻³. As for the symmetry: R-3m. For the density of states at the Fermi level, the calculation gives 0.56 states/eV/atom.

No. 10
Below is crystalline SrCuBi2S4 at its relaxed geometry, with properties calculated at the PBE level.

Cell lengths 6.7886, 6.7886, 13.8999 Å; angles 90.00, 90.00, 142.99 degrees
Last column: nearest neighbours and their distance in Å.
Fractional positions:
Sr1 0.1218 0.8782 0.7500  6 S 3.12, 1 Cu 3.39
Sr2 0.8782 0.1218 0.2500  6 S 3.12, 1 Cu 3.39
Cu1 0.1413 0.8587 0.2500  4 S 2.41-2.44
Cu2 0.8587 0.1413 0.7500  4 S 2.41-2.44
Bi1 0.3726 0.6274 0.5536  6 S 2.80-2.98
Bi2 0.3726 0.6274 0.9464  6 S 2.80-2.98
Bi3 0.6274 0.3726 0.0536  6 S 2.80-2.98
Bi4 0.6274 0.3726 0.4464  6 S 2.80-2.98
S1 0.0000 0.0000 0.0000  4 Bi 2.81
S2 0.0000 0.0000 0.5000  4 Bi 2.81
S3 0.2685 0.7315 0.1229  1 Cu 2.41
S4 0.2685 0.7315 0.3771  1 Cu 2.41
S5 0.4468 0.5532 0.7500  2 Cu 2.44
S6 0.5532 0.4468 0.2500  2 Cu 2.44
S7 0.7315 0.2685 0.6229  1 Cu 2.41
S8 0.7315 0.2685 0.8771  1 Cu 2.41

Summary:
Its crystal system is orthorhombic. The calculation puts the raw formation energy at -663 meV per atom. The value obtained for the mass density is 6.0 g cm⁻³. As for the symmetry: Cmcm. For the density of states at the Fermi level, the calculation gives 0.11 states/eV/atom.

No. 11
Below is crystalline SrZnIn2 at its relaxed geometry, with properties calculated at the PBE level.

Cell lengths 4.7212, 4.7212, 6.5130 Å; angles 111.31, 111.31, 59.92 degrees
Last column: nearest neighbours and their distance in Å.
Fractional positions:
Sr1 0.0000 0.0000 0.0000  6 In 3.42-3.58, 4 Zn 3.45-3.79
Zn1 0.7859 0.7859 0.3583  3 In 2.73
In1 0.2164 0.2164 0.6489  3 In 3.12, 3 Zn 3.22, 3 Sr 3.42-3.43
In2 0.4641 0.4641 0.3927  3 Zn 2.73

Summary:
Its crystal system is monoclinic. The formation energy from the elements is -0.94 eV per formula unit. The value obtained for the mass density is 5.6 g cm⁻³. As for the symmetry: Cm. For the density of states at the Fermi level, the calculation gives 0.66 states/eV/atom.

No. 12
Below is crystalline MgRe2Hg at its relaxed geometry, with properties calculated at the PBE level.

Cell lengths 2.9975, 3.7625, 6.1321 Å; angles 90.00, 91.82, 90.00 degrees
Last column: nearest neighbours and their distance in Å.
Fractional positions:
Mg1 0.0000 0.0000 0.0000  5 Re 2.79-2.95, 4 Hg 2.82-2.84, 2 Mg 3.00
Re1 0.5106 0.5000 0.2769  4 Re 2.53-2.76
Re2 0.9539 0.0000 0.4535  4 Re 2.53-2.76, 1 Mg 2.79
Hg1 0.4907 0.5000 0.7571  4 Mg 2.82-2.84, 5 Re 2.95-3.07, 2 Hg 3.00

Summary:
Its crystal system is monoclinic. The formation energy from the elements is 1.33 eV per formula unit. Its relative energy among the computed polymorphs is 146.1 meV per atom. The value obtained for the mass density is 14.3 g cm⁻³. As for the symmetry: Pm. For the density of states at the Fermi level, the calculation gives 0.37 states/eV/atom.